[1]
The following is a DFT calculation (PBE) of a relaxed structure of Tb2ErSe.

Unit cell a=3.6103 b=3.6103 c=8.4512 alpha=90.00 beta=90.00 gamma=90.00
Closest atoms and distances in Å follow each position.
Element x y z (fractional)
Tb 0.0000 0.0000 0.2099  4 Se 3.11
Tb 0.0000 0.0000 0.7901  4 Se 3.11
Er 0.5000 0.5000 0.5000  8 Tb 3.54, 4 Er 3.61
Se 0.5000 0.5000 0.0000  8 Tb 3.11

## Properties
DFT total energy   -20.06 eV per cell
Formation energy from raw total energies   -0.6875 eV/atom
Crystal system   tetragonal
Space-group type   P4/mmm (123)
Polymorph energy (0 for the lowest one)   120 meV/atom

---

[2]
The following is a DFT calculation (PBE) of a relaxed structure of TbErSe.

Unit cell a=3.8329 b=3.8329 c=6.5316 alpha=90.00 beta=90.00 gamma=120.00
Closest atoms and distances in Å follow each position.
Element x y z (fractional)
Tb 0.0000 0.0000 0.0000  3 Se 2.89
Er 0.3333 0.6667 0.5614  3 Se 2.86
Se 0.6667 0.3333 0.2847  3 Er 2.86, 3 Tb 2.89

## Properties
DFT total energy   -15.98 eV per cell
Formation energy from raw total energies   -1.1016 eV/atom
Crystal system   trigonal
Space-group type   P3m1 (156)
Polymorph energy (0 for the lowest one)   0 meV/atom

---

[3]
The following is a DFT calculation (PBE) of a relaxed structure of TbEr2Se3.

Unit cell a=7.0155 b=7.0155 c=7.0155 alpha=146.22 beta=131.91 gamma=60.06
Closest atoms and distances in Å follow each position.
Element x y z (fractional)
Tb 0.0000 0.0000 0.0000  6 Se 2.86-2.91
Er 0.3370 0.3370 0.0000  6 Se 2.84-2.87
Er 0.6630 0.6630 0.0000  6 Se 2.84-2.87
Se 0.1708 0.6708 0.5000  4 Er 2.86-2.87, 2 Tb 2.91
Se 0.5000 0.0000 0.5000  4 Er 2.84, 2 Tb 2.86
Se 0.8292 0.3292 0.5000  4 Er 2.86-2.87, 2 Tb 2.91

## Properties
DFT total energy   -34.52 eV per cell
Formation energy from raw total energies   -1.7180 eV/atom
Crystal system   orthorhombic
Space-group type   Immm (71)

---

[4]
The following is a DFT calculation (PBE) of a relaxed structure of TbEr6Se8.

Unit cell a=8.0517 b=8.0517 c=8.0517 alpha=60.00 beta=60.00 gamma=60.00
Closest atoms and distances in Å follow each position.
Element x y z (fractional)
Tb 0.0000 0.0000 0.0000  6 Se 2.92
Er 0.0000 0.0000 0.5000  6 Se 2.85
Er 0.0000 0.5000 0.0000  6 Se 2.85
Er 0.0000 0.5000 0.5000  6 Se 2.85
Er 0.5000 0.0000 0.0000  6 Se 2.85
Er 0.5000 0.0000 0.5000  6 Se 2.85
Er 0.5000 0.5000 0.0000  6 Se 2.85
Se 0.2500 0.2500 0.2500  6 Er 2.85
Se 0.2561 0.2561 0.7439  4 Er 2.85, 1 Tb 2.92
Se 0.2561 0.7439 0.2561  4 Er 2.85, 1 Tb 2.92
Se 0.2561 0.7439 0.7439  4 Er 2.85, 1 Tb 2.92
Se 0.7439 0.2561 0.2561  4 Er 2.85, 1 Tb 2.92
Se 0.7439 0.2561 0.7439  4 Er 2.85, 1 Tb 2.92
Se 0.7439 0.7439 0.2561  4 Er 2.85, 1 Tb 2.92
Se 0.7500 0.7500 0.7500  6 Er 2.85

## Properties
DFT total energy   -86.85 eV per cell
Formation energy from raw total energies   -1.7980 eV/atom
Crystal system   cubic
Space-group type   Fm-3m (225)

---

[5]
The following is a DFT calculation (PBE) of a relaxed structure of TbErSe.

Unit cell a=3.6883 b=4.5920 c=4.7912 alpha=90.00 beta=90.00 gamma=90.00
Closest atoms and distances in Å follow each position.
Element x y z (fractional)
Tb 0.0000 0.0000 0.0000  4 Se 3.02, 4 Er 3.32
Er 0.0000 0.5000 0.5000  4 Se 2.94
Se 0.5000 0.0000 0.5000  4 Er 2.94, 4 Tb 3.02

## Properties
DFT total energy   -14.94 eV per cell
Formation energy from raw total energies   -0.7554 eV/atom
Crystal system   orthorhombic
Space-group type   Pmmm (47)
Polymorph energy (0 for the lowest one)   346 meV/atom

---

[6]
The following is a DFT calculation (PBE) of a relaxed structure of TbEr2Se.

Unit cell a=10.5593 b=10.5593 c=10.5593 alpha=20.01 beta=20.01 gamma=20.01
Closest atoms and distances in Å follow each position.
Element x y z (fractional)
Tb 0.0000 0.0000 0.0000  2 Er 3.36, 6 Tb 3.67
Er 0.1084 0.1084 0.1084  3 Se 2.78
Er 0.8916 0.8916 0.8916  3 Se 2.78
Se 0.5000 0.5000 0.5000  6 Er 2.78

## Properties
DFT total energy   -19.32 eV per cell
Formation energy from raw total energies   -0.5210 eV/atom
Crystal system   trigonal
Space-group type   R-3m (166)
Polymorph energy (0 for the lowest one)   275 meV/atom